VASP calculation (meta-GGA SCAN) on CsHo2Cl7 at its PBEsol-relaxed geometry.

Energy relative to the elements, uncorrected = -2.524 eV per atom
Size of the total moment = 0.000 μB per formula unit
Crystal system = orthorhombic

Cell lengths 13.595, 6.859, 12.427 Å; angles 90.00, 90.00, 90.00 degrees
Space group Pnma (No. 62)
Inequivalent atoms, fractional coordinates:
Cs: 0.037 0.250 0.204 [4 per cell]
Ho: 0.242 0.250 0.549 [4 per cell]
Ho: 0.248 0.250 0.853 [4 per cell]
Cl: 0.112 0.750 0.200 [4 per cell]
Cl: 0.129 0.009 0.435 [8 per cell]
Cl: 0.132 0.010 0.968 [8 per cell]
Cl: 0.181 0.007 0.702 [8 per cell]